Li4VF6: relaxed, PBE with a Hubbard U.

The structure in POSCAR format:
```
Li4VF6
1.0
5.358 0.000 0.000
0.000 8.801 0.000
-1.734 0.000 4.816
Li V F
8 2 12
direct
0.038 0.164 0.340 Li
0.038 0.336 0.840 Li
0.451 0.664 0.965 Li
0.451 0.836 0.465 Li
0.549 0.164 0.535 Li
0.549 0.336 0.035 Li
0.962 0.664 0.160 Li
0.962 0.836 0.660 Li
0.500 0.000 0.000 V
0.500 0.500 0.500 V
0.239 0.673 0.543 F
0.239 0.827 0.043 F
0.272 0.006 0.576 F
0.272 0.494 0.076 F
0.300 0.182 0.119 F
0.300 0.318 0.619 F
0.700 0.682 0.381 F
0.700 0.818 0.881 F
0.728 0.506 0.924 F
0.728 0.994 0.424 F
0.761 0.173 0.957 F
0.761 0.327 0.457 F
```

Values from the calculation:
The density of states at the Fermi level comes out at 0.00 states/eV/f.u. The value obtained for the size of the total moment is 6.0 μB/cell. The value obtained for the energy is -5.214 eV/atom. Its space group is No. 14.